# 1
Computed, not measured: BaYCr2O after structural relaxation at the PBE with a Hubbard U level of DFT.

Summary:
E_tot = -3.71 eV per atom
Space group = P4/mmm (123)
Total moment = 9.39 μB/cell
Energy relative to the lowest polymorph listed for this composition = 1.379 eV per atom

a = 5.660 Å, b = 5.660 Å, c = 6.177 Å
α = 90.00°, β = 90.00°, γ = 90.00°
Element x y z (fractional)
Ba (0.000, 0.000, 0.000)
Y (0.000, 0.000, 0.500)
Cr (0.000, 0.500, 0.000)
Cr (0.500, 0.000, 0.000)
O (0.500, 0.500, 0.500)


# 2
Computed, not measured: BaYCr2O after structural relaxation at the PBE with a Hubbard U level of DFT.

Summary:
E_tot = -5.09 eV per atom
Space group = P4/mmm (123)
Total moment = 10.18 μB/cell
Energy relative to the lowest polymorph listed for this composition = 0.000 eV per atom

a = 6.126 Å, b = 6.126 Å, c = 4.520 Å
α = 90.00°, β = 90.00°, γ = 90.00°
Element x y z (fractional)
Ba (0.000, 0.000, 0.000)
Y (0.500, 0.500, 0.500)
Cr (0.000, 0.500, 0.000)
Cr (0.500, 0.000, 0.000)
O (0.000, 0.000, 0.500)


# 3
Computed, not measured: BaYCr2O8 after structural relaxation at the PBE with a Hubbard U level of DFT.

Summary:
E_tot = -7.34 eV per atom
Space group = P-3 (147)
Total moment = 1.00 μB/cell

a = 5.704 Å, b = 5.704 Å, c = 7.655 Å
α = 90.00°, β = 90.00°, γ = 120.00°
Element x y z (fractional)
Ba (0.000, 0.000, 0.000)
Y (0.000, 0.000, 0.500)
Cr (0.333, 0.667, 0.768)
Cr (0.667, 0.333, 0.232)
O (0.169, 0.829, 0.697)
O (0.171, 0.340, 0.697)
O (0.333, 0.667, 0.984)
O (0.340, 0.169, 0.303)
O (0.660, 0.831, 0.697)
O (0.667, 0.333, 0.016)
O (0.829, 0.660, 0.303)
O (0.831, 0.171, 0.303)


# 4
Computed, not measured: Ba3Zn2CrO6 after structural relaxation at the PBE with a Hubbard U level of DFT.

Summary:
E_tot = -5.68 eV per atom
Space group = P-3m1 (164)
Total moment = 3.79 μB/cell

a = 5.941 Å, b = 5.941 Å, c = 6.890 Å
α = 90.00°, β = 90.00°, γ = 120.00°
Element x y z (fractional)
Ba (0.000, 0.000, 0.000)
Ba (0.333, 0.667, 0.647)
Ba (0.667, 0.333, 0.353)
Zn (0.333, 0.667, 0.210)
Zn (0.667, 0.333, 0.790)
Cr (0.000, 0.000, 0.500)
O (0.160, 0.321, 0.319)
O (0.160, 0.840, 0.319)
O (0.321, 0.160, 0.681)
O (0.679, 0.840, 0.319)
O (0.840, 0.160, 0.681)
O (0.840, 0.679, 0.681)


# 5
Computed, not measured: BaZnCr4O8 after structural relaxation at the PBE with a Hubbard U level of DFT.

Summary:
E_tot = -6.81 eV per atom
Space group = P-31m (162)
Total moment = 12.00 μB/cell

a = 5.426 Å, b = 5.426 Å, c = 7.323 Å
α = 90.00°, β = 90.00°, γ = 120.00°
Element x y z (fractional)
Ba (0.000, 0.000, 0.000)
Zn (0.000, 0.000, 0.500)
Cr (0.333, 0.667, 0.259)
Cr (0.333, 0.667, 0.741)
Cr (0.667, 0.333, 0.259)
Cr (0.667, 0.333, 0.741)
O (0.000, 0.315, 0.321)
O (0.000, 0.685, 0.679)
O (0.315, 0.000, 0.321)
O (0.315, 0.315, 0.679)
O (0.333, 0.667, 0.000)
O (0.667, 0.333, 0.000)
O (0.685, 0.000, 0.679)
O (0.685, 0.685, 0.321)


# 6
Computed, not measured: BaZnCrO2 after structural relaxation at the PBE with a Hubbard U level of DFT.

Summary:
E_tot = -4.70 eV per atom
Space group = P4/mmm (123)
Total moment = 0.78 μB/cell

a = 4.123 Å, b = 4.123 Å, c = 4.695 Å
α = 90.00°, β = 90.00°, γ = 90.00°
Element x y z (fractional)
Ba (0.000, 0.000, 0.000)
Zn (0.500, 0.500, 0.000)
Cr (0.500, 0.500, 0.500)
O (0.000, 0.500, 0.500)
O (0.500, 0.000, 0.500)


# 7
Computed, not measured: Ba3ZrCr2O9 after structural relaxation at the PBE with a Hubbard U level of DFT.

Summary:
E_tot = -7.40 eV per atom
Space group = P-3m1 (164)
Total moment = 3.96 μB/cell

a = 5.749 Å, b = 5.749 Å, c = 7.072 Å
α = 90.00°, β = 90.00°, γ = 120.00°
Element x y z (fractional)
Ba (0.000, 0.000, 0.000)
Ba (0.333, 0.667, 0.676)
Ba (0.667, 0.333, 0.324)
Zr (0.000, 0.000, 0.500)
Cr (0.333, 0.667, 0.164)
Cr (0.667, 0.333, 0.836)
O (0.000, 0.500, 0.000)
O (0.173, 0.347, 0.326)
O (0.173, 0.827, 0.326)
O (0.347, 0.173, 0.674)
O (0.500, 0.000, 0.000)
O (0.500, 0.500, 0.000)
O (0.653, 0.827, 0.326)
O (0.827, 0.173, 0.674)
O (0.827, 0.653, 0.674)


# 8
Computed, not measured: Ba3Zr2CrO9 after structural relaxation at the PBE with a Hubbard U level of DFT.

Summary:
E_tot = -7.84 eV per atom
Space group = P-3m1 (164)
Total moment = 1.97 μB/cell

a = 5.881 Å, b = 5.881 Å, c = 7.216 Å
α = 90.00°, β = 90.00°, γ = 120.00°
Element x y z (fractional)
Ba (0.000, 0.000, 0.000)
Ba (0.333, 0.667, 0.664)
Ba (0.667, 0.333, 0.336)
Zr (0.333, 0.667, 0.175)
Zr (0.667, 0.333, 0.825)
Cr (0.000, 0.000, 0.500)
O (0.000, 0.500, 0.000)
O (0.161, 0.321, 0.342)
O (0.161, 0.839, 0.342)
O (0.321, 0.161, 0.658)
O (0.500, 0.000, 0.000)
O (0.500, 0.500, 0.000)
O (0.679, 0.839, 0.342)
O (0.839, 0.161, 0.658)
O (0.839, 0.679, 0.658)


# 9
Computed, not measured: BaZrCr2O8 after structural relaxation at the PBE with a Hubbard U level of DFT.

Summary:
E_tot = -7.55 eV per atom
Space group = C2/m (12)
Total moment = 2.00 μB/cell

a = 5.335 Å, b = 5.335 Å, c = 7.841 Å
α = 91.58°, β = 91.58°, γ = 65.38°
Element x y z (fractional)
Ba (0.000, 0.000, 0.000)
Zr (0.000, 0.000, 0.500)
Cr (0.365, 0.365, 0.721)
Cr (0.635, 0.635, 0.279)
O (0.217, 0.726, 0.696)
O (0.230, 0.230, 0.564)
O (0.274, 0.783, 0.304)
O (0.310, 0.310, 0.923)
O (0.690, 0.690, 0.077)
O (0.726, 0.217, 0.696)
O (0.770, 0.770, 0.436)
O (0.783, 0.274, 0.304)